(1)
Pm3GaSi2Pt9: relaxed, GGA-PBE.

Calculated values
**Final energy**: -93.88 eV per cell
**Formation energy without anion corrections**: -759 meV/atom

```
data_Pm3GaSi2Pt9
_chemical_formula_sum 'Pm3 Ga1 Si2 Pt9'
_symmetry_space_group_name_H-M 'P 1'
_symmetry_Int_Tables_number 1
_symmetry_space_group_name_Hall 'P 1'
_cell_length_a 6.357
_cell_length_b 6.357
_cell_length_c 9.037
_cell_angle_alpha 90.00
_cell_angle_beta 90.00
_cell_angle_gamma 120.00
loop_
_atom_site_label
_atom_site_type_symbol
_atom_site_fract_x
_atom_site_fract_y
_atom_site_fract_z
Pm1 Pm 0.000 0.000 0.000
Pm2 Pm 0.333 0.667 0.708
Pm3 Pm 0.667 0.333 0.292
Ga1 Ga 0.000 0.000 0.500
Si1 Si 0.333 0.667 0.181
Si2 Si 0.667 0.333 0.819
Pt1 Pt 0.000 0.500 0.000
Pt2 Pt 0.144 0.288 0.282
Pt3 Pt 0.144 0.856 0.282
Pt4 Pt 0.288 0.144 0.718
Pt5 Pt 0.500 0.000 0.000
Pt6 Pt 0.500 0.500 0.000
Pt7 Pt 0.712 0.856 0.282
Pt8 Pt 0.856 0.144 0.718
Pt9 Pt 0.856 0.712 0.718
```

(2)
Mg3SeI: relaxed, GGA-PBE.

Calculated values
**Final energy**: -7.41 eV per cell
**Polymorph energy (0 for the lowest one)**: 0.6336 eV/atom
**Formation energy without anion corrections**: 482 meV/atom

```
data_Mg3SeI
_chemical_formula_sum 'Mg3 Se1 I1'
_symmetry_space_group_name_H-M 'P 1'
_symmetry_Int_Tables_number 1
_symmetry_space_group_name_Hall 'P 1'
_cell_length_a 5.650
_cell_length_b 5.650
_cell_length_c 5.650
_cell_angle_alpha 90.00
_cell_angle_beta 90.00
_cell_angle_gamma 90.00
loop_
_atom_site_label
_atom_site_type_symbol
_atom_site_fract_x
_atom_site_fract_y
_atom_site_fract_z
Mg1 Mg 0.000 0.000 0.500
Mg2 Mg 0.000 0.500 0.000
Mg3 Mg 0.500 0.000 0.000
Se1 Se 0.500 0.500 0.500
I1 I 0.000 0.000 0.000
```

(3)
Na2LiCO4: relaxed, GGA-PBE.

Calculated values
**Final energy**: -44.45 eV per cell
**Formation energy without anion corrections**: -1356 meV/atom

```
data_Na2LiCO4
_chemical_formula_sum 'Na2 Li1 C1 O4'
_symmetry_space_group_name_H-M 'P 1'
_symmetry_Int_Tables_number 1
_symmetry_space_group_name_Hall 'P 1'
_cell_length_a 4.784
_cell_length_b 4.784
_cell_length_c 4.784
_cell_angle_alpha 106.82
_cell_angle_beta 106.82
_cell_angle_gamma 114.91
loop_
_atom_site_label
_atom_site_type_symbol
_atom_site_fract_x
_atom_site_fract_y
_atom_site_fract_z
Na1 Na 0.000 0.500 0.500
Na2 Na 0.500 0.000 0.500
Li1 Li 0.000 0.000 0.000
C1 C 0.500 0.500 0.000
O1 O 0.196 0.196 0.723
O2 O 0.473 0.473 0.277
O3 O 0.527 0.804 0.000
O4 O 0.804 0.527 0.000
```

(4)
NaDy2Se: relaxed, GGA-PBE.

Calculated values
**Final energy**: -16.33 eV per cell
**Formation energy without anion corrections**: -581 meV/atom

```
data_NaDy2Se
_chemical_formula_sum 'Na1 Dy2 Se1'
_symmetry_space_group_name_H-M 'P 1'
_symmetry_Int_Tables_number 1
_symmetry_space_group_name_Hall 'P 1'
_cell_length_a 10.804
_cell_length_b 10.804
_cell_length_c 10.804
_cell_angle_alpha 20.18
_cell_angle_beta 20.18
_cell_angle_gamma 20.18
loop_
_atom_site_label
_atom_site_type_symbol
_atom_site_fract_x
_atom_site_fract_y
_atom_site_fract_z
Na1 Na 0.000 0.000 0.000
Dy1 Dy 0.111 0.111 0.111
Dy2 Dy 0.889 0.889 0.889
Se1 Se 0.500 0.500 0.500
```

(5)
AcTePd4: relaxed, GGA-PBE.

Calculated values
**Final energy**: -62.75 eV per cell
**Polymorph energy (0 for the lowest one)**: 0.0000 eV/atom
**Formation energy without anion corrections**: -559 meV/atom

```
data_AcTePd4
_chemical_formula_sum 'Ac2 Te2 Pd8'
_symmetry_space_group_name_H-M 'P 1'
_symmetry_Int_Tables_number 1
_symmetry_space_group_name_Hall 'P 1'
_cell_length_a 7.558
_cell_length_b 4.413
_cell_length_c 7.579
_cell_angle_alpha 90.00
_cell_angle_beta 90.00
_cell_angle_gamma 90.00
loop_
_atom_site_label
_atom_site_type_symbol
_atom_site_fract_x
_atom_site_fract_y
_atom_site_fract_z
Ac1 Ac 0.250 0.000 0.161
Ac2 Ac 0.750 0.000 0.839
Te1 Te 0.250 0.000 0.733
Te2 Te 0.750 0.000 0.267
Pd1 Pd 0.000 0.000 0.500
Pd2 Pd 0.045 0.500 0.804
Pd3 Pd 0.250 0.500 0.450
Pd4 Pd 0.455 0.500 0.804
Pd5 Pd 0.500 0.000 0.500
Pd6 Pd 0.545 0.500 0.196
Pd7 Pd 0.750 0.500 0.550
Pd8 Pd 0.955 0.500 0.196
```

(6)
ScCo: relaxed, GGA-PBE.

Calculated values
**Final energy**: -27.59 eV per cell
**Calculated formation energy**: -0.178 eV per atom

```
data_ScCo
_chemical_formula_sum 'Sc2 Co2'
_symmetry_space_group_name_H-M 'P 1'
_symmetry_Int_Tables_number 1
_symmetry_space_group_name_Hall 'P 1'
_cell_length_a 4.219
_cell_length_b 4.219
_cell_length_c 4.504
_cell_angle_alpha 90.00
_cell_angle_beta 90.00
_cell_angle_gamma 120.00
loop_
_atom_site_label
_atom_site_type_symbol
_atom_site_fract_x
_atom_site_fract_y
_atom_site_fract_z
Sc1 Sc 0.333 0.667 0.250
Sc2 Sc 0.667 0.333 0.750
Co1 Co 0.000 0.000 0.000
Co2 Co 0.000 0.000 0.500
```

Results for Fermi-level density of states: 0.438, 0.668, 0.571, 0.966, 0.519, 0.648 (in states/eV per atom, following the order of the records).